DFT (PBE-GGA) results for a geometry-optimized Ac3Ga4Pd2 structure.

Calculated values
Relative energy among the computed polymorphs: 0.0 kJ per mole of atoms
Uncorrected energy: -4.5974 eV per atom
Formation energy from the elements: -0.7287 eV per atom
Total magnetic moment: 0.0 μB/cell

Lattice parameters (Å, degrees): 4.5405 6.2576 9.0555 108.41 90.00 111.27
Fractional positions:
Pd (0.6047, 0.2094, 0.2696)
Pd (0.3953, 0.7906, 0.7304)
Ac (0.0000, 0.0000, 0.0000)
Ac (0.6774, 0.3549, 0.6471)
Ac (0.3226, 0.6451, 0.3529)
Ga (0.7414, 0.4828, 0.0792)
Ga (0.9745, 0.9490, 0.6389)
Ga (0.2586, 0.5172, 0.9208)
Ga (0.0255, 0.0510, 0.3611)